## GaTcPt3 (PBE-GGA)

Data for an optimized crystal structure of GaTcPt3.

Computed properties:
Space group: No. 221
ΔE_f: 20.28 kcal/mol of atoms
Distance to the lowest polymorph of the same formula: 0.000 eV/atom

a = 4.6198 Å, b = 4.6198 Å, c = 4.6198 Å
α = 90.00°, β = 90.00°, γ = 90.00°
With the nearest neighbours (Å) after each atom.
Atoms (fractional coordinates):
Ga 0.0000 0.0000 0.0000  6 Pt 2.31
Tc 0.5000 0.5000 0.5000  12 Pt 3.27
Pt 0.0000 0.5000 0.0000  2 Ga 2.31
Pt 0.0000 0.0000 0.5000  2 Ga 2.31
Pt 0.5000 0.0000 0.0000  2 Ga 2.31